A geometry-optimized TaCrInMo2 structure, computed with PBE.

Summary:
Calculated density: 8493 kg/m3
Crystal system: tetragonal
Uncorrected energy: -6.812 eV per atom
E_form: 2.363 eV per atom
Magnetic moment: 0.00 μB per atom

a b c (Å): 4.8430 4.8430 4.4982
angles (deg): 90.00 90.00 90.00
With the nearest neighbours (Å) after each atom.
Fractional positions:
Ta 0.0000 0.0000 0.0000  8 Mo 3.30, 4 Cr 3.42
Cr 0.5000 0.5000 0.0000  2 In 2.25
In 0.5000 0.5000 0.5000  2 Cr 2.25, 4 Mo 2.42
Mo 0.0000 0.5000 0.5000  2 In 2.42
Mo 0.5000 0.0000 0.5000  2 In 2.42

***

A geometry-optimized CrInTeMo2 structure, computed with PBE.

Summary:
Calculated density: 5884 kg/m3
Uncorrected formation energy: 1.8785 eV/atom
Crystal system: tetragonal
Uncorrected energy: -5.555 eV per atom
Magnetic moment: 2.20 μB per atom

a b c (Å): 5.2157 5.2157 5.0448
angles (deg): 90.00 90.00 90.00
With the nearest neighbours (Å) after each atom.
Fractional positions:
Cr 0.0000 0.0000 0.0000  2 In 2.52
In 0.0000 0.0000 0.5000  2 Cr 2.52, 4 Mo 2.61
Te 0.5000 0.5000 0.0000  8 Mo 3.63, 4 Cr 3.69
Mo 0.0000 0.5000 0.5000  2 In 2.61
Mo 0.5000 0.0000 0.5000  2 In 2.61

***

A geometry-optimized TiCrIn2Mo structure, computed with PBE.

Summary:
Calculated density: 6578 kg/m3
Crystal system: tetragonal
Uncorrected energy: -5.197 eV per atom
E_form: 1.568 eV per atom
Magnetic moment: 0.06 μB per atom

a b c (Å): 5.0014 5.0014 4.2935
angles (deg): 90.00 90.00 90.00
With the nearest neighbours (Å) after each atom.
Fractional positions:
Ti 0.0000 0.0000 0.0000  2 Mo 2.15
Cr 0.5000 0.5000 0.5000  8 In 3.30, 4 Mo 3.54
In 0.0000 0.5000 0.0000  2 Ti 2.50
In 0.5000 0.0000 0.0000  2 Ti 2.50
Mo 0.0000 0.0000 0.5000  2 Ti 2.15

***

A geometry-optimized Zr2CrInMo structure, computed with PBE.

Summary:
Calculated density: 6431 kg/m3
Crystal system: tetragonal
Uncorrected energy: -7.252 eV per atom
E_form: 0.806 eV per atom
Magnetic moment: 0.00 μB per atom

a b c (Å): 5.1113 5.1113 4.4002
angles (deg): 90.00 90.00 90.00
With the nearest neighbours (Å) after each atom.
Fractional positions:
Zr 0.0000 0.5000 0.0000  2 Mo 2.56
Zr 0.5000 0.0000 0.0000  2 Mo 2.56
Cr 0.0000 0.0000 0.5000  2 Mo 2.20
In 0.5000 0.5000 0.5000  8 Zr 3.37, 4 Cr 3.61
Mo 0.0000 0.0000 0.0000  2 Cr 2.20